Entry 1:
# Ho3ZnRh3

Ho3ZnRh3 after structural relaxation (PBE, Alexandria via LeMat-Bulk).

For the energy of formation from the pure elements, the calculation gives -812 meV/atom. As for the symmetry: Cmcm, No. 63.

```
14
Lattice="-0.1685 -3.9265 1.0944 3.8641 0.8969 -3.7908 9.1323 2.3582 9.8668" Properties=species:S:1:pos:R:3 pbc="T T T"
Ho 9.6670 1.6963 7.5744
Ho 3.1609 -2.3676 -0.4039
Ho 6.9926 1.0057 4.6848
Ho 5.8353 -1.6770 2.4856
Ho 10.4261 0.7596 4.3307
Ho 2.4018 -1.4309 2.8398
Zn -0.0843 -1.9632 0.5472
Zn 4.4819 -0.7841 5.4806
Rh 11.3006 -0.6886 6.8735
Rh 1.5272 0.0172 0.2969
Rh 8.3929 -1.4394 3.7320
Rh 4.4349 0.7681 3.4385
Rh 8.6307 -0.7209 6.3463
Rh 4.1972 0.0496 0.8242
```

***

Entry 2:
# BaAcAsH

BaAcAsH after structural relaxation (PBE, Alexandria via LeMat-Bulk).

The energy above the lowest structure with this stoichiometry comes out at 1.72 kcal/mol of atoms. As for the symmetry: F-43m, No. 216.

```
4
Lattice="5.3382 0.0000 0.0000 2.6691 4.6230 0.0000 2.6691 1.5410 4.3586" Properties=species:S:1:pos:R:3 pbc="T T T"
As 8.0073 4.6230 3.2690
Ac 0.0000 0.0000 0.0000
Ba 5.3382 3.0820 2.1793
H 2.6691 1.5410 1.0897
```

***

Entry 3:
# MnAg2Te

MnAg2Te after structural relaxation (PBE, Alexandria via LeMat-Bulk).

As for the formation energy without anion corrections: 0.19 eV per atom. As for the symmetry: Cmmm, No. 65.

```
4
Lattice="5.1025 0.0000 0.0000 0.0000 4.0830 -0.0073 0.0000 -0.0213 4.0859" Properties=species:S:1:pos:R:3 pbc="T T T"
Ag 0.0000 0.0458 0.0461
Ag 0.0000 1.9850 1.9932
Mn 2.5512 1.0154 1.0196
Te 2.5512 3.0462 3.0589
```

***

Entry 4:
# CeTlPbO

CeTlPbO after structural relaxation (PBE, Alexandria via LeMat-Bulk).

As for the formation energy without anion corrections: -1.26 eV per atom. As for the symmetry: I4mm, No. 107.

```
4
Lattice="-1.6037 0.3405 -2.9203 0.1366 -3.3143 -0.4615 -7.4688 0.5370 6.0844" Properties=species:S:1:pos:R:3 pbc="T T T"
Ce -7.2509 -2.2416 1.8000
Tl -3.1180 -0.3611 1.6701
Pb -1.5670 -1.5834 -1.2445
O -6.1343 -0.7104 3.2858
```

***

no.,V (Å³/cell),electronic total energy (eV per atom)
1,284,-6.107
2,108,-4.125
3,85,-4.317
4,105,-5.499